1.
! Zr2AlHRu | Alexandria | PBE | optimized geometry; values from VASP
! * E_tot: -0.52351 Ry/atom
&SYSTEM
  ibrav = 0, nat = 5, ntyp = 4
/
ATOMIC_SPECIES
Zr 91.22 Zr.upf
Al 26.98 Al.upf
H 1.01 H.upf
Ru 101.07 Ru.upf
CELL_PARAMETERS angstrom
-1.285 2.777 -3.242
-4.121 0.076 1.698
0.954 2.986 2.180
ATOMIC_POSITIONS crystal
Zr 0.000 0.500 0.000
Al 0.500 0.500 0.500
H 0.000 0.000 0.000
Zr 0.500 0.000 0.000
Ru 0.000 0.000 0.500

2.
! CdTcTe4 | Alexandria | PBE | optimized geometry; values from VASP
! * E_form (uncorrected): 0.96 eV per atom
! * E_tot: -0.22183 Ry/atom
&SYSTEM
  ibrav = 0, nat = 6, ntyp = 3
/
ATOMIC_SPECIES
Te 127.60 Te.upf
Cd 112.41 Cd.upf
Tc 98.00 Tc.upf
CELL_PARAMETERS angstrom
0.000 4.491 4.491
4.491 0.000 4.491
4.491 4.491 0.000
ATOMIC_POSITIONS crystal
Te 0.375 0.875 0.375
Cd 0.750 0.750 0.750
Te 0.375 0.375 0.875
Tc 0.000 0.000 0.000
Te 0.375 0.375 0.375
Te 0.875 0.375 0.375

3.
! La2In2Pb | Alexandria | PBE | optimized geometry; values from VASP
! * E_tot: -0.28230 Ry/atom
! * formation energy from the elements: -0.033 eV per atom
&SYSTEM
  ibrav = 0, nat = 5, ntyp = 3
/
ATOMIC_SPECIES
In 114.82 In.upf
La 138.91 La.upf
Pb 207.20 Pb.upf
CELL_PARAMETERS angstrom
5.013 0.000 0.000
0.000 5.013 0.000
2.507 2.507 6.896
ATOMIC_POSITIONS crystal
In 0.402 0.402 0.195
La 0.750 0.250 0.500
In 0.598 0.598 0.805
La 0.250 0.750 0.500
Pb 0.000 0.000 0.000

4.
! SmY3Tm3 | Alexandria | PBE | optimized geometry; values from VASP
! * energy above the most stable polymorph in this dataset: 0.132 eV per atom
! * E_tot: -0.38385 Ry/atom
! * formation energy from the elements: 0.138 eV per atom
&SYSTEM
  ibrav = 0, nat = 14, ntyp = 3
/
ATOMIC_SPECIES
Tm 168.93 Tm.upf
Y 88.91 Y.upf
Sm 150.36 Sm.upf
CELL_PARAMETERS angstrom
-2.134 2.260 -5.308
-5.574 -1.638 -2.021
-8.297 11.122 4.508
ATOMIC_POSITIONS crystal
Tm 0.866 0.534 0.402
Y 0.932 0.266 0.204
Tm 0.134 0.466 0.598
Y 0.402 0.068 0.796
Tm 0.802 0.134 0.598
Y 0.068 0.734 0.796
Y 0.598 0.932 0.204
Tm 0.534 0.198 0.402
Tm 0.198 0.866 0.402
Sm 0.333 0.333 0.000
Tm 0.466 0.802 0.598
Sm 0.667 0.667 0.000
Y 0.734 0.402 0.796
Y 0.266 0.598 0.204

5.
! LaTl2PbCl | Alexandria | PBE | optimized geometry; values from VASP
! * E_form (uncorrected): -0.11 eV per atom
! * E_tot: -0.23193 Ry/atom
&SYSTEM
  ibrav = 0, nat = 5, ntyp = 4
/
ATOMIC_SPECIES
Pb 207.20 Pb.upf
Tl 204.38 Tl.upf
Cl 35.45 Cl.upf
La 138.91 La.upf
CELL_PARAMETERS angstrom
-2.353 5.079 -3.005
-5.520 -3.039 -0.814
-1.742 1.926 4.620
ATOMIC_POSITIONS crystal
Pb 0.500 0.500 0.500
Tl 0.000 0.500 0.000
Cl 0.000 0.000 0.500
Tl 0.500 0.000 0.000
La 0.000 0.000 0.000

6.
! MgGa | Alexandria | PBE | optimized geometry; values from VASP
! * E_tot: -0.17948 Ry/atom
! * formation energy from the elements: -0.131 eV per atom
&SYSTEM
  ibrav = 0, nat = 6, ntyp = 2
/
ATOMIC_SPECIES
Mg 24.30 Mg.upf
Ga 69.72 Ga.upf
CELL_PARAMETERS angstrom
-5.751 4.993 -2.144
3.820 -6.902 0.615
-2.355 -0.934 4.140
ATOMIC_POSITIONS crystal
Mg 0.321 0.679 0.000
Mg 0.125 0.875 0.500
Ga 0.998 0.002 0.000
Ga 0.786 0.214 0.500
Ga 0.655 0.345 0.000
Mg 0.449 0.551 0.500

7.
! ZnFe3Pt4 | Alexandria | PBE | optimized geometry; values from VASP
! * E_tot: -0.48812 Ry/atom
! * formation energy from the elements: -0.288 eV per atom
&SYSTEM
  ibrav = 0, nat = 8, ntyp = 3
/
ATOMIC_SPECIES
Pt 195.08 Pt.upf
Fe 55.84 Fe.upf
Zn 65.41 Zn.upf
CELL_PARAMETERS angstrom
3.694 0.000 0.000
0.000 3.934 0.000
0.000 0.000 7.849
ATOMIC_POSITIONS crystal
Pt 0.000 0.500 0.747
Fe 0.500 0.000 0.259
Pt 0.000 0.500 0.253
Fe 0.500 0.000 0.741
Fe 0.500 0.500 0.500
Pt 0.000 0.000 0.000
Zn 0.500 0.500 0.000
Pt 0.000 0.000 0.500

8.
! NaMgNb | Alexandria | PBE | optimized geometry; values from VASP
! * energy above the most stable polymorph in this dataset: 0.616 eV per atom
! * E_tot: -0.25976 Ry/atom
! * formation energy from the elements: 0.794 eV per atom
&SYSTEM
  ibrav = 0, nat = 3, ntyp = 3
/
ATOMIC_SPECIES
Nb 92.91 Nb.upf
Mg 24.30 Mg.upf
Na 22.99 Na.upf
CELL_PARAMETERS angstrom
-3.605 -3.280 -2.175
1.368 -0.562 5.128
-1.961 1.686 0.708
ATOMIC_POSITIONS crystal
Nb 0.333 0.667 0.000
Mg 0.000 0.000 0.000
Na 0.667 0.333 0.500